Entry 1:
{
  "formula": "Sr2Ge2Pt",
  "functional": "PBE",
  "state": "optimized geometry",
  "lattice": [[6.9650, 0.0000, 0.0000], [0.0000, 6.9650, 0.0000], [0.0000, 0.0000, 4.9342]],
  "species": ["Ge", "Sr", "Sr", "Sr", "Sr", "Ge", "Pt", "Ge", "Ge", "Pt"],
  "frac_coords": [[0.1366, 0.3634, 0.0000], [0.3290, 0.1710, 0.5000], [0.8290, 0.3290, 0.5000], [0.6710, 0.8290, 0.5000], [0.1710, 0.6710, 0.5000], [0.3634, 0.8634, 0.0000], [0.5000, 0.5000, 0.0000], [0.8634, 0.6366, 0.0000], [0.6366, 0.1366, 0.0000], [0.0000, 0.0000, 0.0000]],
  "sg": "No. 127",
  "relative_energy_mev_per_atom": 133,
  "formation_energy_ev_per_atom": -0.621
}

Entry 2:
{
  "formula": "Cu3Hg2",
  "functional": "PBE",
  "state": "optimized geometry",
  "lattice": [[-1.6182, 1.6182, 7.5987], [1.6182, -1.6182, 7.5987], [1.6182, 1.6182, -7.5987]],
  "species": ["Hg", "Hg", "Cu", "Cu", "Cu"],
  "frac_coords": [[0.1059, 0.1059, 0.0000], [0.8941, 0.8941, 0.0000], [0.2893, 0.2893, 0.0000], [0.5000, 0.5000, 0.0000], [0.7107, 0.7107, 0.0000]],
  "sg": "No. 139",
  "relative_energy_mev_per_atom": 0,
  "formation_energy_ev_per_atom": 0.174
}

Entry 3:
{
  "formula": "Pr2HoTh3Te6",
  "functional": "PBE",
  "state": "optimized geometry",
  "lattice": [[4.3636, 0.0000, 0.0000], [0.0000, 9.1512, -0.0473], [-2.1818, -3.0281, 9.4738]],
  "species": ["Th", "Te", "Pr", "Te", "Ho", "Te", "Te", "Th", "Th", "Te", "Pr", "Te"],
  "frac_coords": [[0.8282, 0.1604, 0.6564], [0.3395, 0.9183, 0.6789], [0.1667, 0.3353, 0.3333], [0.6669, 0.5857, 0.3338], [0.5000, 0.0000, 0.0000], [0.3331, 0.4143, 0.6662], [0.0027, 0.7612, 0.0054], [0.1718, 0.8396, 0.3436], [0.5000, 0.5000, 0.0000], [0.6605, 0.0817, 0.3211], [0.8333, 0.6647, 0.6667], [0.9973, 0.2388, 0.9946]],
  "sg": "No. 12",
  "formation_energy_uncorrected_ev_per_atom": -1.177
}

Entry 4:
{
  "formula": "Ce2IrRh",
  "functional": "PBE",
  "state": "optimized geometry",
  "lattice": [[3.4948, 0.0000, 0.0000], [0.0000, 4.9288, 0.0000], [0.0000, 0.0000, 4.9288]],
  "species": ["Ir", "Rh", "Ce", "Ce"],
  "frac_coords": [[0.5000, 0.0000, 0.0000], [0.5000, 0.5000, 0.5000], [0.0000, 0.0000, 0.5000], [0.0000, 0.5000, 0.0000]],
  "sg": "No. 123",
  "formation_energy_ev_per_atom": -0.670
}